## ScTi2CuC (meta-GGA SCAN)

Data for a crystal of ScTi2CuC relaxed with PBEsol.

Unit cell a=3.972 b=4.225 c=4.225 alpha=90.00 beta=90.00 gamma=90.00
Sites, in units of the cell vectors:
Ti (0.000, 0.000, 0.500)
Ti (0.000, 0.500, 0.000)
Cu (0.500, 0.000, 0.000)
C (0.000, 0.000, 0.000)
Sc (0.500, 0.500, 0.500)

Summary:
- Calculated total energy: -14.423 eV per atom
- Formation energy: -0.104 eV/atom
- Calculated density: 5.1 g/cm³
- Volume: 14.2 Å³ per atom

---

## MoRuRh2 (meta-GGA SCAN)

Data for a crystal of MoRuRh2 relaxed with PBEsol.

Unit cell a=3.837 b=3.837 c=4.628 alpha=114.49 beta=114.49 gamma=90.00
Sites, in units of the cell vectors:
Ru (0.500, 0.500, 0.000)
Mo (0.250, 0.750, 0.500)
Rh (0.750, 0.250, 0.500)
Rh (0.000, 0.000, 0.000)

Summary:
- Calculated total energy: -34.417 eV per atom
- Formation energy: -0.103 eV/atom
- Calculated density: 12.1 g/cm³
- ΔE to the lowest computed polymorph: 65.2 meV/atom
- Volume: 13.8 Å³ per atom

---

## Rb2ZrN2 (meta-GGA SCAN)

Data for a crystal of Rb2ZrN2 relaxed with PBEsol.

Unit cell a=3.389 b=3.389 c=11.121 alpha=90.00 beta=90.00 gamma=120.00
Sites, in units of the cell vectors:
N (0.667, 0.333, 0.899)
N (0.333, 0.667, 0.101)
Zr (0.000, 0.000, 0.000)
Rb (0.667, 0.333, 0.274)
Rb (0.333, 0.667, 0.726)

Summary:
- Calculated total energy: -18.810 eV per atom
- Calculated density: 4.4 g/cm³
- Volume: 22.1 Å³ per atom
- Raw formation energy: -0.658 eV per atom

---

## CoSi2Pb (meta-GGA SCAN)

Data for a crystal of CoSi2Pb relaxed with PBEsol.

Unit cell a=3.500 b=3.524 c=5.882 alpha=90.00 beta=107.30 gamma=90.00
Sites, in units of the cell vectors:
Si (0.531, 0.500, 0.188)
Si (0.027, 0.000, 0.180)
Co (0.659, 0.000, 0.443)
Pb (0.282, 0.500, 0.688)

Summary:
- Calculated total energy: -27.992 eV per atom
- Calculated density: 7.7 g/cm³
- Volume: 17.3 Å³ per atom
- Raw formation energy: 0.287 eV per atom

---

## MgGeMoAs2 (meta-GGA SCAN)

Data for a crystal of MgGeMoAs2 relaxed with PBEsol.

Unit cell a=4.770 b=4.823 c=4.823 alpha=90.00 beta=90.00 gamma=90.00
Sites, in units of the cell vectors:
Mo (0.500, 0.500, 0.500)
Mg (0.000, 0.000, 0.000)
As (0.000, 0.000, 0.500)
As (0.000, 0.500, 0.000)
Ge (0.500, 0.000, 0.000)

Summary:
- Calculated total energy: -18.700 eV per atom
- Formation energy: 1.165 eV/atom
- Calculated density: 5.1 g/cm³
- Volume: 22.2 Å³ per atom

---

## Zn3B7IO13 (meta-GGA SCAN)

Data for a crystal of Zn3B7IO13 relaxed with PBEsol.

Unit cell a=8.567 b=8.567 c=8.567 alpha=60.00 beta=60.00 gamma=60.00
Sites, in units of the cell vectors:
Zn (0.000, 0.000, 0.500)
Zn (0.000, 0.500, 0.000)
Zn (0.000, 0.500, 0.500)
Zn (0.500, 0.000, 0.500)
Zn (0.500, 0.000, 0.000)
Zn (0.500, 0.500, 0.000)
B (0.240, 0.920, 0.920)
B (0.920, 0.240, 0.920)
B (0.740, 0.420, 0.420)
B (0.250, 0.250, 0.750)
B (0.250, 0.750, 0.250)
B (0.420, 0.740, 0.420)
B (0.750, 0.250, 0.250)
B (0.920, 0.920, 0.920)
B (0.750, 0.750, 0.250)
B (0.420, 0.420, 0.740)
B (0.920, 0.920, 0.240)
B (0.750, 0.250, 0.750)
B (0.250, 0.750, 0.750)
B (0.420, 0.420, 0.420)
O (0.898, 0.064, 0.296)
O (0.398, 0.242, 0.796)
O (0.564, 0.242, 0.398)
O (0.398, 0.796, 0.564)
O (0.796, 0.398, 0.242)
O (0.000, 0.000, 0.000)
O (0.398, 0.564, 0.242)
O (0.242, 0.796, 0.398)
O (0.242, 0.564, 0.796)
O (0.742, 0.898, 0.296)
O (0.742, 0.296, 0.064)
O (0.796, 0.564, 0.398)
O (0.796, 0.242, 0.564)
O (0.564, 0.398, 0.796)
O (0.742, 0.064, 0.898)
O (0.242, 0.398, 0.564)
O (0.564, 0.796, 0.242)
O (0.898, 0.296, 0.742)
O (0.296, 0.898, 0.064)
O (0.064, 0.742, 0.296)
O (0.064, 0.296, 0.898)
O (0.064, 0.898, 0.742)
O (0.296, 0.064, 0.742)
O (0.898, 0.742, 0.064)
O (0.296, 0.742, 0.898)
O (0.500, 0.500, 0.500)
I (0.250, 0.250, 0.250)
I (0.750, 0.750, 0.750)

Summary:
- Calculated total energy: -11.082 eV per atom
- Calculated density: 4.5 g/cm³
- ΔE to the lowest computed polymorph: 3.8 meV/atom
- Volume: 9.3 Å³ per atom
- Raw formation energy: -2.319 eV per atom

---

## ZrBe (meta-GGA SCAN)

Data for a crystal of ZrBe relaxed with PBEsol.

Unit cell a=3.922 b=3.922 c=3.922 alpha=60.00 beta=60.00 gamma=60.00
Sites, in units of the cell vectors:
Zr (0.250, 0.250, 0.250)
Be (0.000, 0.000, 0.000)

Summary:
- Calculated total energy: -16.079 eV per atom
- Formation energy: 1.447 eV/atom
- Calculated density: 3.9 g/cm³
- Volume: 21.3 Å³ per atom

---

## AlNi4 (meta-GGA SCAN)

Data for a crystal of AlNi4 relaxed with PBEsol.

Unit cell a=3.546 b=4.283 c=4.283 alpha=80.13 beta=65.54 gamma=65.54
Sites, in units of the cell vectors:
Ni (0.402, 0.795, 0.401)
Ni (0.197, 0.401, 0.205)
Ni (0.598, 0.205, 0.599)
Ni (0.803, 0.599, 0.795)
Al (0.000, 0.000, 0.000)

Summary:
- Calculated total energy: -14.822 eV per atom
- Formation energy: -0.333 eV/atom
- Calculated density: 8.1 g/cm³
- Volume: 10.8 Å³ per atom

---

## BaLi2Hg (meta-GGA SCAN)

Data for a crystal of BaLi2Hg relaxed with PBEsol.

Unit cell a=3.876 b=5.699 c=6.169 alpha=117.51 beta=108.31 gamma=90.00
Sites, in units of the cell vectors:
Li (0.698, 0.698, 0.397)
Li (0.302, 0.302, 0.603)
Hg (0.000, 0.500, 0.000)
Ba (0.500, 0.000, 0.000)

Summary:
- Calculated total energy: -28.401 eV per atom
- Formation energy: -0.277 eV/atom
- Calculated density: 5.2 g/cm³
- Volume: 28.3 Å³ per atom

---

## Li3MnP2O9 (meta-GGA SCAN)

Data for a crystal of Li3MnP2O9 relaxed with PBEsol.

Unit cell a=6.697 b=6.974 c=7.713 alpha=89.14 beta=64.50 gamma=87.36
Sites, in units of the cell vectors:
O (0.683, 0.573, 0.696)
O (0.898, 0.491, 0.258)
O (0.446, 0.872, 0.737)
O (0.756, 0.087, 0.472)
O (0.172, 0.117, 0.259)
O (0.512, 0.233, 0.985)
O (0.105, 0.511, 0.740)
O (0.996, 0.195, 0.936)
O (0.359, 0.222, 0.643)
O (0.989, 0.236, 0.615)
O (0.237, 0.912, 0.529)
O (0.548, 0.115, 0.270)
O (0.828, 0.893, 0.735)
O (0.011, 0.771, 0.371)
O (0.954, 0.811, 0.065)
O (0.624, 0.770, 0.375)
O (0.321, 0.427, 0.303)
O (0.522, 0.764, 0.016)
P (0.107, 0.295, 0.745)
P (0.388, 0.235, 0.200)
P (0.877, 0.706, 0.254)
P (0.618, 0.764, 0.800)
Mn (0.494, 0.998, 0.508)
Mn (0.002, 0.002, 0.493)
Li (0.918, 0.234, 0.199)
Li (0.139, 0.760, 0.802)
Li (0.761, 0.004, 0.999)
Li (0.401, 0.685, 0.269)
Li (0.000, 0.501, 0.494)
Li (0.591, 0.315, 0.734)

Summary:
- Calculated total energy: -9.134 eV per atom
- Calculated density: 2.9 g/cm³
- Volume: 10.8 Å³ per atom
- Raw formation energy: -2.314 eV per atom

---

## KMn2Fe (meta-GGA SCAN)

Data for a crystal of KMn2Fe relaxed with PBEsol.

Unit cell a=4.583 b=4.583 c=4.583 alpha=60.00 beta=60.00 gamma=60.00
Sites, in units of the cell vectors:
Mn (0.750, 0.750, 0.750)
Mn (0.250, 0.250, 0.250)
Fe (0.500, 0.500, 0.500)
K (0.000, 0.000, 0.000)

Summary:
- Calculated total energy: -14.645 eV per atom
- Formation energy: 1.097 eV/atom
- Calculated density: 5.0 g/cm³
- ΔE to the lowest computed polymorph: 605.4 meV/atom
- Volume: 17.0 Å³ per atom

---

## Sr2TlAg (meta-GGA SCAN)

Data for a crystal of Sr2TlAg relaxed with PBEsol.

Unit cell a=3.823 b=5.559 c=6.383 alpha=109.23 beta=107.42 gamma=90.00
Sites, in units of the cell vectors:
Sr (0.972, 0.947, 0.945)
Sr (0.770, 0.294, 0.540)
Ag (0.224, 0.761, 0.448)
Tl (0.534, 0.498, 0.067)

Summary:
- Calculated total energy: -37.391 eV per atom
- Formation energy: -0.322 eV/atom
- Calculated density: 6.7 g/cm³
- Volume: 30.4 Å³ per atom

---

## FeRe2Se (meta-GGA SCAN)

Data for a crystal of FeRe2Se relaxed with PBEsol.

Unit cell a=3.629 b=3.629 c=4.283 alpha=90.00 beta=90.00 gamma=90.00
Sites, in units of the cell vectors:
Se (0.500, 0.500, 0.500)
Re (0.500, 0.000, 0.000)
Re (0.000, 0.500, 0.000)
Fe (0.000, 0.000, 0.500)

Summary:
- Calculated total energy: -44.209 eV per atom
- Calculated density: 14.9 g/cm³
- Volume: 14.1 Å³ per atom
- Raw formation energy: 0.892 eV per atom

---

## Ta2CoIr (meta-GGA SCAN)

Data for a crystal of Ta2CoIr relaxed with PBEsol.

Unit cell a=3.982 b=3.982 c=4.662 alpha=115.29 beta=115.29 gamma=90.00
Sites, in units of the cell vectors:
Ir (0.500, 0.500, 0.000)
Ta (0.750, 0.250, 0.500)
Ta (0.250, 0.750, 0.500)
Co (0.000, 0.000, 0.000)

Summary:
- Calculated total energy: -55.793 eV per atom
- Formation energy: -0.401 eV/atom
- Calculated density: 17.3 g/cm³
- Volume: 14.7 Å³ per atom

---

## HfSnPbF2 (meta-GGA SCAN)

Data for a crystal of HfSnPbF2 relaxed with PBEsol.

Unit cell a=4.185 b=4.185 c=5.970 alpha=90.00 beta=90.00 gamma=90.00
Sites, in units of the cell vectors:
F (0.000, 0.500, 0.000)
F (0.500, 0.000, 0.000)
Hf (0.000, 0.000, 0.000)
Pb (0.000, 0.000, 0.500)
Sn (0.500, 0.500, 0.500)

Summary:
- Calculated total energy: -37.941 eV per atom
- Calculated density: 8.6 g/cm³
- Volume: 20.9 Å³ per atom
- Raw formation energy: -1.650 eV per atom

---

## Sc2Ga2Ag (meta-GGA SCAN)

Data for a crystal of Sc2Ga2Ag relaxed with PBEsol.

Unit cell a=4.136 b=4.136 c=6.629 alpha=108.18 beta=108.18 gamma=90.00
Sites, in units of the cell vectors:
Sc (0.750, 0.250, 0.500)
Sc (0.250, 0.750, 0.500)
Ga (0.596, 0.596, 0.192)
Ga (0.404, 0.404, 0.808)
Ag (0.000, 0.000, 0.000)

Summary:
- Calculated total energy: -18.493 eV per atom
- Formation energy: 0.014 eV/atom
- Calculated density: 5.5 g/cm³
- ΔE to the lowest computed polymorph: 632.9 meV/atom
- Volume: 20.4 Å³ per atom

---

## Sr2PH2 (meta-GGA SCAN)

Data for a crystal of Sr2PH2 relaxed with PBEsol.

Unit cell a=3.758 b=3.758 c=7.231 alpha=105.06 beta=105.06 gamma=90.00
Sites, in units of the cell vectors:
Sr (0.640, 0.640, 0.280)
Sr (0.360, 0.360, 0.720)
H (0.750, 0.250, 0.500)
H (0.250, 0.750, 0.500)
P (0.000, 0.000, 0.000)

Summary:
- Calculated total energy: -13.111 eV per atom
- Calculated density: 3.6 g/cm³
- Volume: 19.0 Å³ per atom

---

## Be2Al2Zn (meta-GGA SCAN)

Data for a crystal of Be2Al2Zn relaxed with PBEsol.

Unit cell a=2.803 b=6.768 c=6.768 alpha=90.00 beta=90.00 gamma=90.00
Sites, in units of the cell vectors:
Zn (0.000, 0.500, 0.500)
Zn (0.000, 0.000, 0.000)
Al (0.500, 0.816, 0.316)
Al (0.500, 0.316, 0.184)
Al (0.500, 0.684, 0.816)
Al (0.500, 0.184, 0.684)
Be (0.000, 0.611, 0.111)
Be (0.000, 0.889, 0.611)
Be (0.000, 0.111, 0.389)
Be (0.000, 0.389, 0.889)

Summary:
- Calculated total energy: -7.318 eV per atom
- Formation energy: 0.227 eV/atom
- Calculated density: 3.6 g/cm³
- Volume: 12.8 Å³ per atom

---

## BaLa2Cr (meta-GGA SCAN)

Data for a crystal of BaLa2Cr relaxed with PBEsol.

Unit cell a=5.203 b=4.970 c=4.970 alpha=90.00 beta=90.00 gamma=90.00
Sites, in units of the cell vectors:
La (0.000, 0.000, 0.500)
La (0.000, 0.500, 0.000)
Ba (0.500, 0.500, 0.500)
Cr (0.500, 0.000, 0.000)

Summary:
- Calculated total energy: -35.666 eV per atom
- Formation energy: 0.370 eV/atom
- Calculated density: 6.0 g/cm³
- Volume: 32.1 Å³ per atom

---

## CuNi2W (meta-GGA SCAN)

Data for a crystal of CuNi2W relaxed with PBEsol.

Unit cell a=4.063 b=4.063 c=4.063 alpha=60.00 beta=60.00 gamma=60.00
Sites, in units of the cell vectors:
Ni (0.750, 0.750, 0.750)
Ni (0.000, 0.000, 0.000)
W (0.250, 0.250, 0.250)
Cu (0.500, 0.500, 0.500)

Summary:
- Calculated total energy: -29.073 eV per atom
- Formation energy: 0.236 eV/atom
- Calculated density: 12.8 g/cm³
- ΔE to the lowest computed polymorph: 188.8 meV/atom
- Volume: 11.9 Å³ per atom

---

## Mn2CuOs (meta-GGA SCAN)

Data for a crystal of Mn2CuOs relaxed with PBEsol.

Unit cell a=4.104 b=4.104 c=4.104 alpha=60.00 beta=60.00 gamma=60.00
Sites, in units of the cell vectors:
Mn (0.750, 0.750, 0.750)
Mn (0.000, 0.000, 0.000)
Os (0.250, 0.250, 0.250)
Cu (0.500, 0.500, 0.500)

Summary:
- Calculated total energy: -30.838 eV per atom
- Formation energy: 0.060 eV/atom
- Calculated density: 12.4 g/cm³
- Volume: 12.2 Å³ per atom

---

## In2HgI (meta-GGA SCAN)

Data for a crystal of In2HgI relaxed with PBEsol.

Unit cell a=5.488 b=5.488 c=5.488 alpha=60.00 beta=60.00 gamma=60.00
Sites, in units of the cell vectors:
In (0.250, 0.250, 0.250)
In (0.750, 0.750, 0.750)
Hg (0.500, 0.500, 0.500)
I (0.000, 0.000, 0.000)

Summary:
- Calculated total energy: -42.883 eV per atom
- Calculated density: 7.9 g/cm³
- Volume: 29.2 Å³ per atom
- Raw formation energy: 0.037 eV per atom

---

## LuB4Ru4 (meta-GGA SCAN)

Data for a crystal of LuB4Ru4 relaxed with PBEsol.

Unit cell a=7.367 b=7.367 c=9.074 alpha=113.95 beta=113.95 gamma=90.00
Sites, in units of the cell vectors:
B (0.471, 0.663, 0.663)
B (0.692, 0.163, 0.663)
B (0.779, 0.087, 0.837)
B (0.279, 0.250, 0.837)
B (0.837, 0.029, 0.337)
B (0.250, 0.221, 0.163)
B (0.058, 0.750, 0.837)
B (0.913, 0.942, 0.163)
B (0.192, 0.000, 0.663)
B (0.971, 0.500, 0.663)
B (0.337, 0.808, 0.337)
B (0.000, 0.529, 0.337)
B (0.750, 0.442, 0.163)
B (0.558, 0.587, 0.837)
B (0.500, 0.308, 0.337)
B (0.413, 0.721, 0.163)
Ru (0.304, 0.538, 0.376)
Ru (0.446, 0.412, 0.124)
Ru (0.288, 0.554, 0.876)
Ru (0.677, 0.712, 0.124)
Ru (0.462, 0.927, 0.624)
Ru (0.573, 0.038, 0.376)
Ru (0.088, 0.054, 0.876)
Ru (0.804, 0.338, 0.376)
Ru (0.588, 0.323, 0.876)
Ru (0.162, 0.696, 0.624)
Ru (0.662, 0.427, 0.624)
Ru (0.788, 0.823, 0.876)
Ru (0.073, 0.838, 0.376)
Ru (0.177, 0.912, 0.124)
Ru (0.962, 0.196, 0.624)
Ru (0.946, 0.212, 0.124)
Lu (0.000, 0.500, 0.000)
Lu (0.750, 0.750, 0.500)
Lu (0.250, 0.250, 0.500)
Lu (0.500, 0.000, 0.000)

Summary:
- Calculated total energy: -25.492 eV per atom
- Formation energy: -0.563 eV/atom
- Calculated density: 10.3 g/cm³
- Volume: 11.2 Å³ per atom

---

## MnGa3Br (meta-GGA SCAN)

Data for a crystal of MnGa3Br relaxed with PBEsol.

Unit cell a=5.292 b=5.292 c=5.292 alpha=90.00 beta=90.00 gamma=90.00
Sites, in units of the cell vectors:
Ga (0.000, 0.500, 0.000)
Ga (0.500, 0.000, 0.000)
Ga (0.000, 0.000, 0.500)
Mn (0.500, 0.500, 0.500)
Br (0.000, 0.000, 0.000)

Summary:
- Calculated total energy: -16.531 eV per atom
- Calculated density: 3.9 g/cm³
- Volume: 29.6 Å³ per atom
- Raw formation energy: 0.820 eV per atom